1.
Ac2PdSe: optimized geometry, PBE. Values from VASP.

Results
Excess energy over the best structure of this formula in the dataset in eV/atom: 0.320
E_tot in eV per cell: -20.80
Total magnetization in μB per cell: 1.53

Quantum ESPRESSO input file:
```
&SYSTEM
  ibrav = 0, nat = 4, ntyp = 3
/
ATOMIC_SPECIES
Ac 227.00 Ac.upf
Pd 106.42 Pd.upf
Se 78.96 Se.upf
CELL_PARAMETERS angstrom
0.000 3.858 3.858
3.858 0.000 3.858
3.858 3.858 0.000
ATOMIC_POSITIONS angstrom
Ac 1.929 1.929 1.929
Ac 5.787 5.787 5.787
Pd 0.000 0.000 0.000
Se 3.858 3.858 3.858
```

2.
CeSmPtBr: optimized geometry, PBE. Values from VASP.

Results
E_tot in eV per cell: -23.01
Total magnetization in μB per cell: 1.12

Quantum ESPRESSO input file:
```
&SYSTEM
  ibrav = 0, nat = 4, ntyp = 4
/
ATOMIC_SPECIES
Ce 140.12 Ce.upf
Sm 150.36 Sm.upf
Pt 195.08 Pt.upf
Br 79.90 Br.upf
CELL_PARAMETERS angstrom
2.085 1.204 7.817
-2.085 1.204 7.817
0.000 -2.408 7.817
ATOMIC_POSITIONS angstrom
Ce 0.000 0.000 0.000
Sm 0.000 0.000 18.708
Pt 0.000 0.000 9.337
Br 0.000 0.000 13.331
```

3.
CdHg2O: optimized geometry, PBE. Values from VASP.

Results
Excess energy over the best structure of this formula in the dataset in eV/atom: 0.000
E_tot in eV per cell: -13.30
Total magnetization in μB per cell: 0.00

Quantum ESPRESSO input file:
```
&SYSTEM
  ibrav = 0, nat = 8, ntyp = 3
/
ATOMIC_SPECIES
Cd 112.41 Cd.upf
Hg 200.59 Hg.upf
O 16.00 O.upf
CELL_PARAMETERS angstrom
-3.313 3.313 4.226
3.313 -3.313 4.226
3.313 3.313 -4.226
ATOMIC_POSITIONS angstrom
Cd 0.000 0.000 0.000
Cd 0.000 3.313 2.113
Hg 1.657 2.060 -1.056
Hg 4.567 1.657 1.056
Hg 1.657 1.254 3.169
Hg -1.254 1.657 5.282
O 3.313 0.000 2.113
O 0.000 0.000 4.226
```

4.
SrTlZnBr5: optimized geometry, PBE. Values from VASP.

Results
E_tot in eV per cell: -48.66
Total magnetization in μB per cell: 0.00

Quantum ESPRESSO input file:
```
&SYSTEM
  ibrav = 0, nat = 16, ntyp = 4
/
ATOMIC_SPECIES
Sr 87.62 Sr.upf
Tl 204.38 Tl.upf
Zn 65.41 Zn.upf
Br 79.90 Br.upf
CELL_PARAMETERS angstrom
4.881 -6.392 0.000
4.881 6.392 0.000
-4.421 0.000 9.811
ATOMIC_POSITIONS angstrom
Sr 0.000 0.000 0.000
Sr -2.210 0.000 4.906
Tl 1.565 1.933 7.359
Tl 3.776 -1.933 2.453
Zn 3.776 2.324 2.453
Zn 1.565 -2.324 7.359
Br 2.042 3.682 3.522
Br 1.565 5.130 7.359
Br 2.936 0.867 0.662
Br 5.509 3.682 1.384
Br 0.725 -0.867 5.568
Br 4.616 0.867 4.243
Br -0.168 -3.682 8.428
Br 2.405 -0.867 9.149
Br 3.776 -5.130 2.453
Br 3.299 -3.682 6.289
```

5.
Pb2WCl: optimized geometry, PBE. Values from VASP.

Results
Excess energy over the best structure of this formula in the dataset in eV/atom: 0.533
E_tot in eV per cell: -18.68
Total magnetization in μB per cell: 2.48

Quantum ESPRESSO input file:
```
&SYSTEM
  ibrav = 0, nat = 4, ntyp = 3
/
ATOMIC_SPECIES
Pb 207.20 Pb.upf
W 183.84 W.upf
Cl 35.45 Cl.upf
CELL_PARAMETERS angstrom
-2.050 2.050 6.377
2.050 -2.050 6.377
2.050 2.050 -6.377
ATOMIC_POSITIONS angstrom
Pb 0.000 0.000 0.000
Pb 0.000 2.050 3.189
W 2.050 0.000 3.189
Cl 0.000 0.000 6.377
```

6.
TaTcCl: optimized geometry, PBE. Values from VASP.

Results
Excess energy over the best structure of this formula in the dataset in eV/atom: 1.330
E_tot in eV per cell: -20.48
Total magnetization in μB per cell: 0.00

Quantum ESPRESSO input file:
```
&SYSTEM
  ibrav = 0, nat = 3, ntyp = 3
/
ATOMIC_SPECIES
Ta 180.95 Ta.upf
Tc 98.00 Tc.upf
Cl 35.45 Cl.upf
CELL_PARAMETERS angstrom
0.000 2.911 2.911
2.911 0.000 2.911
2.911 2.911 0.000
ATOMIC_POSITIONS angstrom
Ta 0.000 0.000 0.000
Tc 2.911 2.911 2.911
Cl 4.367 4.367 4.367
```

7.
Pu2AgPd: optimized geometry, PBE. Values from VASP.

Results
E_form in eV/atom: -0.13
Excess energy over the best structure of this formula in the dataset in eV/atom: 0.033
E_tot in eV per cell: -37.21
Total magnetization in μB per cell: 12.01

Quantum ESPRESSO input file:
```
&SYSTEM
  ibrav = 0, nat = 4, ntyp = 3
/
ATOMIC_SPECIES
Pu 244.00 Pu.upf
Ag 107.87 Ag.upf
Pd 106.42 Pd.upf
CELL_PARAMETERS angstrom
4.541 0.000 0.000
0.000 4.541 0.000
0.000 0.000 4.306
ATOMIC_POSITIONS angstrom
Pu 0.000 2.271 0.000
Pu 2.271 0.000 0.000
Ag 0.000 0.000 2.153
Pd 2.271 2.271 2.153
```

8.
Na2AsW: optimized geometry, PBE. Values from VASP.

Results
E_form in eV/atom: 1.20
Excess energy over the best structure of this formula in the dataset in eV/atom: 0.385
E_tot in eV per cell: -15.44
Total magnetization in μB per cell: 4.48

Quantum ESPRESSO input file:
```
&SYSTEM
  ibrav = 0, nat = 4, ntyp = 3
/
ATOMIC_SPECIES
Na 22.99 Na.upf
As 74.92 As.upf
W 183.84 W.upf
CELL_PARAMETERS angstrom
0.000 3.529 3.529
3.529 0.000 3.529
3.529 3.529 0.000
ATOMIC_POSITIONS angstrom
Na 1.765 1.765 1.765
Na 5.294 5.294 5.294
As 0.000 0.000 0.000
W 3.529 3.529 3.529
```

9.
Pm5Pb3: optimized geometry, PBE. Values from VASP.

Results
E_form in eV/atom: -0.49
Excess energy over the best structure of this formula in the dataset in eV/atom: 0.058
E_tot in eV per cell: -77.58
Total magnetization in μB per cell: 3.43

Quantum ESPRESSO input file:
```
&SYSTEM
  ibrav = 0, nat = 16, ntyp = 2
/
ATOMIC_SPECIES
Pm 145.00 Pm.upf
Pb 207.20 Pb.upf
CELL_PARAMETERS angstrom
-4.233 4.233 7.112
4.233 -4.233 7.112
4.233 4.233 -7.112
ATOMIC_POSITIONS angstrom
Pm 0.000 0.000 0.000
Pm 5.578 1.345 -2.143
Pm 1.345 2.888 -2.143
Pm 5.578 1.345 2.143
Pm 1.345 2.888 2.143
Pm 0.000 0.000 7.112
Pm 2.888 1.345 4.970
Pm -1.345 2.888 4.970
Pm 2.888 1.345 9.255
Pm -1.345 2.888 9.255
Pb 3.031 1.203 0.000
Pb 0.000 0.000 3.556
Pb 3.031 -1.203 7.112
Pb 1.203 5.436 0.000
Pb 0.000 0.000 10.668
Pb 1.203 3.031 7.112
```

10.
Sn2I3F: optimized geometry, PBE. Values from VASP.

Results
E_tot in eV per cell: -39.67
Total magnetization in μB per cell: 0.00

Quantum ESPRESSO input file:
```
&SYSTEM
  ibrav = 0, nat = 12, ntyp = 3
/
ATOMIC_SPECIES
Sn 118.71 Sn.upf
I 126.90 I.upf
F 19.00 F.upf
CELL_PARAMETERS angstrom
8.399 -2.540 0.000
8.399 2.540 0.000
-4.277 0.000 11.344
ATOMIC_POSITIONS angstrom
Sn -0.365 0.000 5.166
Sn 5.294 0.000 1.787
Sn 7.227 0.000 9.558
Sn 12.887 0.000 6.178
I -1.883 0.000 11.263
I 3.344 0.000 4.300
I 4.413 0.000 8.399
I 8.109 0.000 2.945
I 9.178 0.000 7.044
I 14.404 0.000 0.081
F -1.796 0.000 6.905
F 14.317 0.000 4.439
```

11.
Y6HoIn: optimized geometry, PBE. Values from VASP.

Results
E_form in eV/atom: -0.12
Excess energy over the best structure of this formula in the dataset in eV/atom: 0.000
E_tot in eV per cell: -47.03
Total magnetization in μB per cell: 0.00

Quantum ESPRESSO input file:
```
&SYSTEM
  ibrav = 0, nat = 8, ntyp = 3
/
ATOMIC_SPECIES
Y 88.91 Y.upf
Ho 164.93 Ho.upf
In 114.82 In.upf
CELL_PARAMETERS angstrom
4.919 0.000 0.000
0.000 4.919 0.000
0.000 0.000 10.075
ATOMIC_POSITIONS angstrom
Y 0.000 0.000 0.000
Y 0.000 0.000 5.038
Y 0.000 2.460 2.457
Y 0.000 2.460 7.618
Y 2.460 0.000 2.457
Y 2.460 0.000 7.618
Ho 2.460 2.460 5.038
In 2.460 2.460 0.000
```

12.
AlCr2H: optimized geometry, PBE. Values from VASP.

Results
Excess energy over the best structure of this formula in the dataset in eV/atom: 0.209
E_tot in eV per cell: -24.11
Total magnetization in μB per cell: 0.00

Quantum ESPRESSO input file:
```
&SYSTEM
  ibrav = 0, nat = 4, ntyp = 3
/
ATOMIC_SPECIES
Al 26.98 Al.upf
Cr 52.00 Cr.upf
H 1.01 H.upf
CELL_PARAMETERS angstrom
1.294 0.747 7.728
-1.294 0.747 7.728
0.000 -1.494 7.728
ATOMIC_POSITIONS angstrom
Al 0.000 0.000 0.000
Cr 0.000 0.000 9.938
Cr 0.000 0.000 13.246
H 0.000 0.000 11.592
```